A geometry-optimized Sc2PRu structure. Source: the Alexandria database, functional GGA-PBEsol.

Unit cell a=3.778 b=3.661 c=9.821 alpha=90.00 beta=90.00 gamma=90.00
Positions (direct):
Sc 0.000 0.000 0.000
Sc 0.000 0.500 0.500
Sc 0.500 0.000 0.282
Sc 0.500 0.500 0.782
P 0.000 0.000 0.718
P 0.000 0.500 0.218
Ru 0.500 0.000 0.566
Ru 0.500 0.500 0.066

Fermi-level density of states (states/eV per cell): 4.7
Energy relative to the elements (meV per atom): -934
E (eV/atom): -8.228

A geometry-optimized YCdSe2N structure. Source: the Alexandria database, functional GGA-PBEsol.

Unit cell a=5.443 b=5.443 c=4.342 alpha=90.00 beta=90.00 gamma=90.00
Positions (direct):
Y 0.000 0.000 0.000
Cd 0.500 0.500 0.500
Se 0.000 0.500 0.000
Se 0.500 0.000 0.000
N 0.000 0.000 0.500

Fermi-level density of states (states/eV per cell): 2.5
E (eV/atom): -4.776
Energy relative to the elements, uncorrected (meV per atom): 73

A geometry-optimized Mg2FeTe structure. Source: the Alexandria database, functional GGA-PBEsol.

Unit cell a=9.787 b=9.787 c=4.607 alpha=90.00 beta=90.00 gamma=90.00
Positions (direct):
Mg 0.000 0.000 0.000
Mg 0.000 0.500 0.000
Mg 0.250 0.250 0.750
Mg 0.250 0.750 0.250
Mg 0.500 0.000 0.500
Mg 0.500 0.500 0.500
Mg 0.750 0.250 0.750
Mg 0.750 0.750 0.250
Fe 0.000 0.250 0.875
Fe 0.000 0.750 0.125
Fe 0.500 0.250 0.625
Fe 0.500 0.750 0.375
Te 0.000 0.250 0.375
Te 0.000 0.750 0.625
Te 0.500 0.250 0.125
Te 0.500 0.750 0.875

Fermi-level density of states (states/eV per cell): 4.1
E (eV/atom): -3.702
Energy relative to the elements, uncorrected (meV per atom): 279

A geometry-optimized MgAu structure. Source: the Alexandria database, functional GGA-PBEsol.

Unit cell a=4.594 b=4.594 c=5.338 alpha=90.00 beta=90.00 gamma=120.00
Positions (direct):
Mg 0.333 0.667 0.250
Mg 0.667 0.333 0.750
Au 0.333 0.667 0.750
Au 0.667 0.333 0.250

Fermi-level density of states (states/eV per cell): 1.8
Energy relative to the elements (meV per atom): -110
E (eV/atom): -2.930

A geometry-optimized ErMgGa structure. Source: the Alexandria database, functional GGA-PBEsol.

Unit cell a=7.133 b=7.133 c=4.358 alpha=90.00 beta=90.00 gamma=120.00
Positions (direct):
Er 0.000 0.572 0.000
Er 0.428 0.428 0.000
Er 0.572 0.000 0.000
Mg 0.000 0.244 0.500
Mg 0.244 0.000 0.500
Mg 0.756 0.756 0.500
Ga 0.000 0.000 0.000
Ga 0.333 0.667 0.500
Ga 0.667 0.333 0.500

Fermi-level density of states (states/eV per cell): 1.1
Energy relative to the elements (meV per atom): -502
E (eV/atom): -3.830

A geometry-optimized CsCuHgSe2 structure. Source: the Alexandria database, functional GGA-PBEsol.

Unit cell a=4.915 b=4.915 c=5.329 alpha=90.00 beta=90.00 gamma=90.00
Positions (direct):
Cs 0.000 0.000 0.000
Cu 0.500 0.500 0.500
Hg 0.500 0.500 0.000
Se 0.000 0.500 0.500
Se 0.500 0.000 0.500

Fermi-level density of states (states/eV per cell): 3.9
E (eV/atom): -2.959
Energy relative to the elements, uncorrected (meV per atom): -251

A geometry-optimized P2IrRu structure. Source: the Alexandria database, functional GGA-PBEsol.

Unit cell a=2.817 b=3.886 c=4.999 alpha=90.00 beta=90.00 gamma=90.00
Positions (direct):
P 0.000 0.000 0.000
P 0.500 0.000 0.500
Ir 0.000 0.500 0.500
Ru 0.500 0.500 0.000

Fermi-level density of states (states/eV per cell): 3.4
Energy relative to the elements (meV per atom): 203
E (eV/atom): -7.692

A geometry-optimized NiPtO2 structure. Source: the Alexandria database, functional GGA-PBEsol.

Unit cell a=2.847 b=2.847 c=17.832 alpha=90.00 beta=90.00 gamma=120.00
Positions (direct):
Ni 0.000 0.000 0.000
Ni 0.333 0.667 0.667
Ni 0.667 0.333 0.333
Pt 0.000 0.000 0.500
Pt 0.333 0.667 0.167
Pt 0.667 0.333 0.833
O 0.000 0.000 0.390
O 0.000 0.000 0.610
O 0.333 0.667 0.056
O 0.333 0.667 0.277
O 0.667 0.333 0.723
O 0.667 0.333 0.944

Fermi-level density of states (states/eV per cell): 7.6
E (eV/atom): -6.590
Energy relative to the elements, uncorrected (meV per atom): -685